[1]
# Tl2WBr8, relaxed, DFT GGA-PBE
data_Tl2WBr8
_chemical_formula_sum 'Tl4 W2 Br16'
_space_group_name_H-M_alt 'C 1 2/m 1'
_space_group_IT_number 12
_cell_length_a 12.664
_cell_length_b 10.583
_cell_length_c 6.519
_cell_angle_alpha 90.00
_cell_angle_beta 97.63
_cell_angle_gamma 90.00
loop_
_space_group_symop_operation_xyz
'x,y,z'
'-x,-y,-z'
'-x,y,-z'
'x,-y,z'
'x+1/2,y+1/2,z'
'-x+1/2,-y+1/2,-z'
'-x+1/2,y+1/2,-z'
'x+1/2,-y+1/2,z'
loop_
_atom_site_label
_atom_site_fract_x
_atom_site_fract_y
_atom_site_fract_z
Tl1 0.125 0.000 0.289
W1 0.000 0.500 0.500
Br1 0.111 0.500 0.841
Br2 0.112 0.000 0.781
Br3 0.117 0.336 0.378
# ΔE_f (raw) = -0.546 eV/atom


[2]
# LaTe2C, relaxed, DFT GGA-PBE
data_LaTe2C
_chemical_formula_sum 'La3 Te6 C3'
_space_group_name_H-M_alt 'R -3 m'
_space_group_IT_number 166
_space_group_name_Hall '-R 3 2"'
_cell_length_a 4.7290
_cell_length_b 4.7290
_cell_length_c 23.0886
_cell_angle_alpha 90.00
_cell_angle_beta 90.00
_cell_angle_gamma 120.00
loop_
_atom_site_label
_atom_site_fract_x
_atom_site_fract_y
_atom_site_fract_z
La1 0.0000 0.0000 0.0000
Te1 0.0000 0.0000 0.4097
C1 0.0000 0.0000 0.5000
# ΔE_f (raw) = 0.513 eV/atom


[3]
# AcTb3Er8, relaxed, DFT GGA-PBE
data_AcTb3Er8
_chemical_formula_sum 'Ac2 Tb6 Er16'
_space_group_name_H-M_alt 'I m m m'
_space_group_IT_number 71
_space_group_name_Hall '-I 2 2'
_cell_length_a 6.313
_cell_length_b 11.368
_cell_length_c 11.549
_cell_angle_alpha 90.00
_cell_angle_beta 90.00
_cell_angle_gamma 90.00
loop_
_atom_site_label
_atom_site_fract_x
_atom_site_fract_y
_atom_site_fract_z
Ac1 0.000 0.000 0.000
Tb1 0.000 0.238 0.500
Tb2 0.000 0.500 0.000
Er1 0.000 0.252 0.175
Er2 0.245 0.000 0.263
# ΔE_f = 0.328 eV/atom


[4]
# Rb2PbSe2, relaxed, DFT GGA-PBE
data_Rb2PbSe2
_chemical_formula_sum 'Rb8 Pb4 Se8'
_space_group_name_H-M_alt 'P 1 21/c 1'
_space_group_IT_number 14
_cell_length_a 11.009
_cell_length_b 8.778
_cell_length_c 8.613
_cell_angle_alpha 90.00
_cell_angle_beta 99.35
_cell_angle_gamma 90.00
loop_
_space_group_symop_operation_xyz
'x,y,z'
'-x,-y,-z'
'-x,y+1/2,-z+1/2'
'x,-y+1/2,z+1/2'
loop_
_atom_site_label
_atom_site_fract_x
_atom_site_fract_y
_atom_site_fract_z
Rb1 0.041 0.237 0.013
Rb2 0.331 0.683 0.992
Pb1 0.362 0.132 0.879
Se1 0.147 0.540 0.263
Se2 0.441 0.037 0.208
# ΔE_f (raw) = -0.891 eV/atom
# Relative energy among the computed polymorphs = 0.00 kcal/mol of atoms


[5]
# LiPaTl2Se4, relaxed, DFT GGA-PBE
data_LiPaTl2Se4
_chemical_formula_sum 'Li1 Pa1 Tl2 Se4'
_space_group_name_H-M_alt 'P 1 2/m 1'
_space_group_IT_number 10
_cell_length_a 6.941
_cell_length_b 4.249
_cell_length_c 8.052
_cell_angle_alpha 90.00
_cell_angle_beta 106.90
_cell_angle_gamma 90.00
loop_
_space_group_symop_operation_xyz
'x,y,z'
'-x,-y,-z'
'-x,y,-z'
'x,-y,z'
loop_
_atom_site_label
_atom_site_fract_x
_atom_site_fract_y
_atom_site_fract_z
Li1 0.000 0.000 0.000
Pa1 0.500 0.500 0.000
Tl1 0.000 0.500 0.500
Tl2 0.500 0.000 0.500
Se1 0.250 0.500 0.201
Se2 0.270 0.000 0.802
# ΔE_f (raw) = -0.997 eV/atom


| no. | calculated total energy (eV per cell) | total magnetic moment (μB per cell) |
| --- | --- | --- |
| 1 | -74.2 | 0.1 |
| 2 | -55.1 | 6.2 |
| 3 | -101.1 | 0.0 |
| 4 | -68.3 | 0.0 |
| 5 | -38.1 | 0.0 |